No. 1
The following is a DFT calculation (PBE-GGA) of a geometry-optimized SrMg2Cu structure.

a = 3.654 Å, b = 4.539 Å, c = 6.639 Å
α = 90.00°, β = 105.79°, γ = 90.00°
Element x y z (fractional)
Sr (0.000, 0.000, 0.000)
Mg (0.299, 0.500, 0.601)
Mg (0.728, 0.000, 0.459)
Cu (0.623, 0.500, 0.249)

Properties
Calculated density   3131 kg/m3
Volume   106 Å³ per cell
Crystal system   monoclinic
Formation enthalpy at 0 K   0.032 eV/atom

No. 2
The following is a DFT calculation (PBE-GGA) of a geometry-optimized Cs8I3Br3O structure.

a = 10.730 Å, b = 10.730 Å, c = 10.730 Å
α = 58.32°, β = 58.32°, γ = 58.32°
Element x y z (fractional)
Cs (0.244, 0.244, 0.244)
Cs (0.291, 0.700, 0.700)
Cs (0.300, 0.300, 0.709)
Cs (0.300, 0.709, 0.300)
Cs (0.700, 0.291, 0.700)
Cs (0.700, 0.700, 0.291)
Cs (0.709, 0.300, 0.300)
Cs (0.756, 0.756, 0.756)
I (0.000, 0.500, 0.500)
I (0.500, 0.000, 0.500)
I (0.500, 0.500, 0.000)
Br (0.000, 0.000, 0.500)
Br (0.000, 0.500, 0.000)
Br (0.500, 0.000, 0.000)
O (0.500, 0.500, 0.500)

Properties
Calculated density   3360 kg/m3
Formation energy without anion corrections   -1.529 eV per atom
Volume   840 Å³ per cell
Crystal system   trigonal

No. 3
The following is a DFT calculation (PBE-GGA) of a geometry-optimized Er4Mg5Au2 structure.

a = 7.846 Å, b = 3.517 Å, c = 10.111 Å
α = 90.00°, β = 92.78°, γ = 90.00°
Element x y z (fractional)
Er (0.161, 0.000, 0.368)
Er (0.232, 0.000, 0.949)
Er (0.768, 0.000, 0.051)
Er (0.839, 0.000, 0.632)
Mg (0.193, 0.500, 0.660)
Mg (0.447, 0.500, 0.190)
Mg (0.500, 0.500, 0.500)
Mg (0.553, 0.500, 0.810)
Mg (0.807, 0.500, 0.340)
Au (0.065, 0.500, 0.144)
Au (0.935, 0.500, 0.856)

Properties
Calculated density   7058 kg/m3
Volume   279 Å³ per cell
Crystal system   monoclinic
Formation enthalpy at 0 K   -0.327 eV/atom

No. 4
The following is a DFT calculation (PBE-GGA) of a geometry-optimized Zr2ScOs structure.

a = 7.874 Å, b = 7.874 Å, c = 5.788 Å
α = 90.00°, β = 90.00°, γ = 90.00°
Element x y z (fractional)
Zr (0.195, 0.750, 0.125)
Zr (0.250, 0.195, 0.875)
Zr (0.250, 0.305, 0.375)
Zr (0.305, 0.750, 0.625)
Zr (0.695, 0.250, 0.625)
Zr (0.750, 0.695, 0.375)
Zr (0.750, 0.805, 0.875)
Zr (0.805, 0.250, 0.125)
Sc (0.000, 0.000, 0.500)
Sc (0.000, 0.500, 0.750)
Sc (0.500, 0.000, 0.250)
Sc (0.500, 0.500, 0.000)
Os (0.000, 0.000, 0.000)
Os (0.000, 0.500, 0.250)
Os (0.500, 0.000, 0.750)
Os (0.500, 0.500, 0.500)

Properties
Calculated density   7729 kg/m3
Volume   359 Å³ per cell
Crystal system   tetragonal
Formation enthalpy at 0 K   0.089 eV/atom

No. 5
The following is a DFT calculation (PBE-GGA) of a geometry-optimized KOs2Br structure.

a = 3.500 Å, b = 2.989 Å, c = 16.515 Å
α = 90.00°, β = 90.00°, γ = 90.00°
Element x y z (fractional)
K (0.000, 0.000, 0.000)
K (0.000, 0.500, 0.500)
Os (0.000, 0.000, 0.229)
Os (0.000, 0.500, 0.729)
Os (0.500, 0.000, 0.663)
Os (0.500, 0.500, 0.163)
Br (0.500, 0.000, 0.362)
Br (0.500, 0.500, 0.862)

Properties
Calculated density   9602 kg/m3
Formation energy without anion corrections   0.446 eV per atom
Volume   173 Å³ per cell
Crystal system   orthorhombic

No. 6
The following is a DFT calculation (PBE-GGA) of a geometry-optimized SrGaSi2Tc structure.

a = 4.710 Å, b = 4.710 Å, c = 4.859 Å
α = 90.00°, β = 90.00°, γ = 90.00°
Element x y z (fractional)
Sr (0.000, 0.000, 0.000)
Ga (0.500, 0.500, 0.000)
Si (0.000, 0.500, 0.500)
Si (0.500, 0.000, 0.500)
Tc (0.500, 0.500, 0.500)

Properties
Calculated density   4799 kg/m3
Formation energy without anion corrections   -0.150 eV per atom
Volume   108 Å³ per cell
Crystal system   tetragonal